Computed, not measured: an optimized crystal structure of Ti3MnTl at the GGA-PBE level of DFT.

Results
* size of the total moment: 1.51 μB per formula unit
* total energy: -33.7 eV for the cell shown
* formation enthalpy at 0 K: 304 meV/atom
* N(E_F): 5.33 states/eV per cell
* offset from the most stable computed form: 1.36 eV/f.u.

a b c (Å): 4.5485 4.5485 4.5485
angles (deg): 90.00 90.00 90.00
Site moments in Bohr magnetons follow the coordinates.
Fractional coordinates of all 5 atoms:
Mn: 0.0000 0.0000 0.0000  -0.20
Tl: 0.5000 0.5000 0.5000  -0.01
Ti: 0.5000 0.0000 0.0000  0.63
Ti: 0.0000 0.0000 0.5000  0.28
Ti: 0.0000 0.5000 0.0000  0.38